# 1
Computed, not measured: a geometry-optimized AgAu3 structure at the GGA-PBE level of DFT.

Properties
As for the energy relative to the elements: -1 kJ/mol of formula units. The total magnetization is 0.00 μB/f.u. The total DFT energy (no corrections) is -25.4 eV for the cell shown. The calculation puts the polymorph energy (0 for the lowest one) at 0.032 eV/atom. As for the density of states at the Fermi level: 1.8 states/eV/f.u.

a b c (Å): 5.926 5.926 4.859
angles (deg): 90.00 90.00 122.07
Fractional positions:
1 Ag 0.082 0.918 0.750
2 Ag 0.918 0.082 0.250
3 Au 0.081 0.417 0.750
4 Au 0.417 0.081 0.250
5 Au 0.419 0.581 0.250
6 Au 0.581 0.419 0.750
7 Au 0.583 0.919 0.750
8 Au 0.919 0.583 0.250

=====

# 2
Computed, not measured: a geometry-optimized Li3GaIr2 structure at the GGA-PBE level of DFT.

Properties
As for the energy relative to the elements: -158 kJ/mol of formula units. The total magnetization is 0.00 μB/f.u. The total DFT energy (no corrections) is -56.3 eV for the cell shown. As for the density of states at the Fermi level: 3.8 states/eV/f.u.

a b c (Å): 4.919 4.919 6.780
angles (deg): 97.50 97.50 96.62
Fractional positions:
1 Li 0.064 0.936 0.750
2 Li 0.147 0.325 0.999
3 Li 0.325 0.147 0.499
4 Li 0.675 0.853 0.501
5 Li 0.853 0.675 0.001
6 Li 0.936 0.064 0.250
7 Ga 0.407 0.593 0.750
8 Ga 0.593 0.407 0.250
9 Ir 0.141 0.605 0.373
10 Ir 0.395 0.859 0.127
11 Ir 0.605 0.141 0.873
12 Ir 0.859 0.395 0.627

=====

# 3
Computed, not measured: a geometry-optimized NpU3 structure at the GGA-PBE level of DFT.

Properties
As for the energy relative to the elements: 76 kJ/mol of formula units. The total magnetization is 0.00 μB/f.u. The total DFT energy (no corrections) is -46.0 eV for the cell shown.

a b c (Å): 3.742 3.742 5.274
angles (deg): 90.00 90.00 90.00
Fractional positions:
1 Np 0.000 0.000 0.000
2 U 0.000 0.000 0.500
3 U 0.500 0.500 0.000
4 U 0.500 0.500 0.500

=====

# 4
Computed, not measured: a geometry-optimized Tb2FeCo3B12 structure at the GGA-PBE level of DFT.

Properties
As for the energy relative to the elements: -7 kJ/mol of formula units. The total magnetization is 3.52 μB/f.u. The total DFT energy (no corrections) is -119.2 eV for the cell shown. As for the density of states at the Fermi level: 11.3 states/eV/f.u.

a b c (Å): 8.020 8.020 8.020
angles (deg): 38.94 38.94 38.94
Fractional positions:
1 Tb 0.141 0.141 0.141
2 Tb 0.859 0.859 0.859
3 Fe 0.500 0.500 0.500
4 Co 0.000 0.500 0.500
5 Co 0.500 0.000 0.500
6 Co 0.500 0.500 0.000
7 B 0.155 0.155 0.475
8 B 0.155 0.475 0.155
9 B 0.182 0.548 0.548
10 B 0.452 0.452 0.818
11 B 0.452 0.818 0.452
12 B 0.475 0.155 0.155
13 B 0.525 0.845 0.845
14 B 0.548 0.182 0.548
15 B 0.548 0.548 0.182
16 B 0.818 0.452 0.452
17 B 0.845 0.525 0.845
18 B 0.845 0.845 0.525

=====

# 5
Computed, not measured: a geometry-optimized Ag3Rh2 structure at the GGA-PBE level of DFT.

Properties
As for the energy relative to the elements: 127 kJ/mol of formula units. The total magnetization is 1.02 μB/f.u. The total DFT energy (no corrections) is -21.9 eV for the cell shown. The calculation puts the polymorph energy (0 for the lowest one) at 0.142 eV/atom. As for the density of states at the Fermi level: 6.4 states/eV/f.u.

a b c (Å): 4.819 4.819 6.332
angles (deg): 128.13 128.13 49.19
Fractional positions:
1 Ag 0.000 0.000 0.000
2 Ag 0.400 0.400 0.199
3 Ag 0.600 0.600 0.801
4 Rh 0.187 0.187 0.574
5 Rh 0.813 0.813 0.426

=====

# 6
Computed, not measured: a geometry-optimized Si3NiI structure at the GGA-PBE level of DFT.

Properties
The total magnetization is 0.00 μB/f.u. The value obtained for the energy relative to the elements, uncorrected is -0.049 eV per atom. The total DFT energy (no corrections) is -47.7 eV for the cell shown. The calculation puts the polymorph energy (0 for the lowest one) at 0.069 eV/atom. As for the density of states at the Fermi level: 1.6 states/eV/f.u.

a b c (Å): 3.934 4.851 12.486
angles (deg): 89.14 81.00 84.30
Fractional positions:
1 Si 0.000 0.000 0.000
2 Si 0.057 0.500 0.885
3 Si 0.208 0.590 0.093
4 Si 0.357 0.090 0.793
5 Si 0.710 0.347 0.136
6 Si 0.902 0.846 0.749
7 Ni 0.513 0.263 0.961
8 Ni 0.531 0.762 0.924
9 I 0.007 0.601 0.571
10 I 0.638 0.102 0.314

=====

# 7
Computed, not measured: a geometry-optimized CrAs4Rh structure at the GGA-PBE level of DFT.

Properties
As for the energy relative to the elements: 367 kJ/mol of formula units. The total magnetization is 3.28 μB/f.u. The total DFT energy (no corrections) is -31.8 eV for the cell shown. As for the density of states at the Fermi level: 3.4 states/eV/f.u.

a b c (Å): 5.400 5.400 5.400
angles (deg): 60.00 60.00 60.00
Fractional positions:
1 Cr 0.000 0.000 0.000
2 As 0.375 0.375 0.375
3 As 0.375 0.375 0.874
4 As 0.375 0.874 0.375
5 As 0.874 0.375 0.375
6 Rh 0.750 0.750 0.750

=====

# 8
Computed, not measured: a geometry-optimized Sb2Mo structure at the GGA-PBE level of DFT.

Properties
The total magnetization is 0.00 μB/f.u. The value obtained for the energy relative to the elements, uncorrected is 0.140 eV per atom. The total DFT energy (no corrections) is -56.0 eV for the cell shown. As for the density of states at the Fermi level: 1.9 states/eV/f.u.

a b c (Å): 7.839 7.839 3.537
angles (deg): 90.00 90.00 120.00
Fractional positions:
1 Sb 0.000 0.275 0.000
2 Sb 0.000 0.615 0.500
3 Sb 0.275 0.000 0.000
4 Sb 0.385 0.385 0.500
5 Sb 0.615 0.000 0.500
6 Sb 0.725 0.725 0.000
7 Mo 0.000 0.000 0.500
8 Mo 0.333 0.667 0.000
9 Mo 0.667 0.333 0.000

=====

# 9
Computed, not measured: a geometry-optimized CuSi3 structure at the GGA-PBE level of DFT.

Properties
The total magnetization is 0.00 μB/f.u. The value obtained for the energy relative to the elements, uncorrected is 0.380 eV per atom. The total DFT energy (no corrections) is -18.8 eV for the cell shown. As for the density of states at the Fermi level: 1.8 states/eV/f.u.

a b c (Å): 2.489 4.737 4.758
angles (deg): 90.00 90.00 90.00
Fractional positions:
1 Cu 0.000 0.000 0.000
2 Si 0.000 0.500 0.499
3 Si 0.500 0.000 0.500
4 Si 0.500 0.500 0.999

=====

# 10
Computed, not measured: a geometry-optimized GaRhI2O structure at the GGA-PBE level of DFT.

Properties
The total magnetization is 0.00 μB/f.u. The value obtained for the energy relative to the elements, uncorrected is -0.222 eV per atom. The total DFT energy (no corrections) is -19.5 eV for the cell shown. The calculation puts the polymorph energy (0 for the lowest one) at 0.000 eV/atom. As for the density of states at the Fermi level: 2.8 states/eV/f.u.

a b c (Å): 5.753 5.753 3.782
angles (deg): 90.00 90.00 90.00
Fractional positions:
1 Ga 0.000 0.000 0.000
2 Rh 0.500 0.500 0.500
3 I 0.000 0.500 0.500
4 I 0.500 0.000 0.500
5 O 0.500 0.500 0.000

=====

# 11
Computed, not measured: a geometry-optimized YTiTeI2 structure at the GGA-PBE level of DFT.

Properties
The total magnetization is 2.82 μB/f.u. The value obtained for the energy relative to the elements, uncorrected is -0.239 eV per atom. The total DFT energy (no corrections) is -21.8 eV for the cell shown. The calculation puts the polymorph energy (0 for the lowest one) at 0.000 eV/atom. As for the density of states at the Fermi level: 6.5 states/eV/f.u.

a b c (Å): 5.449 5.449 5.574
angles (deg): 90.00 90.00 90.00
Fractional positions:
1 Y 0.000 0.000 0.000
2 Ti 0.500 0.500 0.500
3 Te 0.500 0.500 0.000
4 I 0.000 0.500 0.500
5 I 0.500 0.000 0.500

=====

# 12
Computed, not measured: a geometry-optimized HoTh3Sb4 structure at the GGA-PBE level of DFT.

Properties
The total magnetization is 0.00 μB/f.u. The value obtained for the energy relative to the elements, uncorrected is -0.953 eV per atom. The total DFT energy (no corrections) is -51.0 eV for the cell shown. The calculation puts the polymorph energy (0 for the lowest one) at 0.003 eV/atom. As for the density of states at the Fermi level: 4.6 states/eV/f.u.

a b c (Å): 7.750 7.750 4.472
angles (deg): 90.00 90.00 109.41
Fractional positions:
1 Ho 0.000 0.000 0.000
2 Th 0.000 0.500 0.500
3 Th 0.500 0.000 0.500
4 Th 0.500 0.500 0.000
5 Sb 0.243 0.243 0.500
6 Sb 0.246 0.754 0.000
7 Sb 0.754 0.246 0.000
8 Sb 0.757 0.757 0.500

=====

# 13
Computed, not measured: a geometry-optimized GaNi5Rh6 structure at the GGA-PBE level of DFT.

Properties
As for the energy relative to the elements: -59 kJ/mol of formula units. The total magnetization is 0.27 μB/f.u. The total DFT energy (no corrections) is -76.7 eV for the cell shown. As for the density of states at the Fermi level: 19.6 states/eV/f.u.

a b c (Å): 6.987 6.987 6.987
angles (deg): 148.33 118.67 70.68
Fractional positions:
1 Ga 0.000 0.000 0.000
2 Ni 0.167 0.667 0.500
3 Ni 0.335 0.335 0.000
4 Ni 0.500 0.000 0.500
5 Ni 0.665 0.665 0.000
6 Ni 0.833 0.333 0.500
7 Rh 0.084 0.832 0.252
8 Rh 0.254 0.500 0.754
9 Rh 0.420 0.168 0.252
10 Rh 0.580 0.832 0.748
11 Rh 0.746 0.500 0.246
12 Rh 0.916 0.168 0.748

=====

# 14
Computed, not measured: a geometry-optimized Hf2Ga3Ge2 structure at the GGA-PBE level of DFT.

Properties
As for the energy relative to the elements: -180 kJ/mol of formula units. The total magnetization is 0.00 μB/f.u. The total DFT energy (no corrections) is -40.1 eV for the cell shown. As for the density of states at the Fermi level: 2.7 states/eV/f.u.

a b c (Å): 5.458 5.458 6.452
angles (deg): 92.43 92.43 42.63
Fractional positions:
1 Hf 0.140 0.140 0.134
2 Hf 0.860 0.860 0.866
3 Ga 0.000 0.000 0.500
4 Ga 0.316 0.316 0.565
5 Ga 0.684 0.684 0.435
6 Ge 0.423 0.423 0.169
7 Ge 0.577 0.577 0.831

=====

# 15
Computed, not measured: a geometry-optimized Y8Se3S3O structure at the GGA-PBE level of DFT.

Properties
The total magnetization is 0.00 μB/f.u. The value obtained for the energy relative to the elements, uncorrected is -1.812 eV per atom. The total DFT energy (no corrections) is -106.7 eV for the cell shown. As for the density of states at the Fermi level: 4.5 states/eV/f.u.

a b c (Å): 7.932 7.932 7.932
angles (deg): 59.13 59.13 59.13
Fractional positions:
1 Y 0.241 0.241 0.241
2 Y 0.261 0.727 0.727
3 Y 0.273 0.273 0.739
4 Y 0.273 0.739 0.273
5 Y 0.727 0.261 0.727
6 Y 0.727 0.727 0.261
7 Y 0.739 0.273 0.273
8 Y 0.759 0.759 0.759
9 Se 0.000 0.500 0.500
10 Se 0.500 0.000 0.500
11 Se 0.500 0.500 0.000
12 S 0.000 0.000 0.500
13 S 0.000 0.500 0.000
14 S 0.500 0.000 0.000
15 O 0.500 0.500 0.500

=====

# 16
Computed, not measured: a geometry-optimized Cs2RhSeCl6 structure at the GGA-PBE level of DFT.

Properties
The total magnetization is 0.00 μB/f.u. The value obtained for the energy relative to the elements, uncorrected is -0.956 eV per atom. The total DFT energy (no corrections) is -33.2 eV for the cell shown. As for the density of states at the Fermi level: 7.0 states/eV/f.u.

a b c (Å): 7.294 7.294 7.294
angles (deg): 116.92 116.92 95.41
Fractional positions:
1 Cs 0.250 0.750 0.500
2 Cs 0.750 0.250 0.500
3 Rh 0.000 0.000 0.000
4 Se 0.500 0.500 0.000
5 Cl 0.223 0.223 0.446
6 Cl 0.223 0.777 0.000
7 Cl 0.249 0.249 0.000
8 Cl 0.751 0.751 0.000
9 Cl 0.777 0.223 0.000
10 Cl 0.777 0.777 0.554

=====

# 17
Computed, not measured: a geometry-optimized HoTh2Fe structure at the GGA-PBE level of DFT.

Properties
As for the energy relative to the elements: 21 kJ/mol of formula units. The total magnetization is 0.00 μB/f.u. The total DFT energy (no corrections) is -27.7 eV for the cell shown. The calculation puts the polymorph energy (0 for the lowest one) at 0.118 eV/atom. As for the density of states at the Fermi level: 5.9 states/eV/f.u.

a b c (Å): 9.055 9.055 9.055
angles (deg): 24.59 24.59 24.59
Fractional positions:
1 Ho 0.000 0.000 0.000
2 Th 0.558 0.558 0.558
3 Th 0.775 0.775 0.775
4 Fe 0.165 0.165 0.165

=====

# 18
Computed, not measured: a geometry-optimized ZnNiH6Ir2 structure at the GGA-PBE level of DFT.

Properties
The total magnetization is 0.00 μB/f.u. The total DFT energy (no corrections) is -87.5 eV for the cell shown. As for the density of states at the Fermi level: 2.4 states/eV/f.u.

a b c (Å): 5.891 5.891 4.768
angles (deg): 101.30 101.30 94.99
Fractional positions:
1 Zn 0.142 0.858 0.750
2 Zn 0.858 0.142 0.250
3 Ni 0.409 0.591 0.250
4 Ni 0.591 0.409 0.750
5 H 0.077 0.585 0.412
6 H 0.205 0.311 0.214
7 H 0.311 0.205 0.714
8 H 0.314 0.510 0.880
9 H 0.415 0.923 0.088
10 H 0.490 0.686 0.620
11 H 0.510 0.314 0.380
12 H 0.585 0.077 0.912
13 H 0.686 0.490 0.120
14 H 0.689 0.795 0.286
15 H 0.795 0.689 0.786
16 H 0.923 0.415 0.588
17 Ir 0.068 0.302 0.838
18 Ir 0.302 0.068 0.338
19 Ir 0.698 0.932 0.662
20 Ir 0.932 0.698 0.162

=====

# 19
Computed, not measured: a geometry-optimized TlPbAu structure at the GGA-PBE level of DFT.

Properties
As for the energy relative to the elements: -5 kJ/mol of formula units. The total magnetization is 0.00 μB/f.u. The total DFT energy (no corrections) is -9.4 eV for the cell shown. As for the density of states at the Fermi level: 1.3 states/eV/f.u.

a b c (Å): 3.895 3.895 6.454
angles (deg): 90.00 90.00 120.00
Fractional positions:
1 Tl 0.000 0.000 0.000
2 Pb 0.667 0.333 0.586
3 Au 0.333 0.667 0.297

=====

# 20
Computed, not measured: a geometry-optimized TbTmCuAu structure at the GGA-PBE level of DFT.

Properties
As for the energy relative to the elements: -215 kJ/mol of formula units. The total magnetization is 0.00 μB/f.u. The total DFT energy (no corrections) is -18.7 eV for the cell shown. As for the density of states at the Fermi level: 2.4 states/eV/f.u.

a b c (Å): 4.991 4.991 4.991
angles (deg): 60.00 60.00 60.00
Fractional positions:
1 Tb 0.000 0.000 0.000
2 Tm 0.500 0.500 0.500
3 Cu 0.750 0.750 0.750
4 Au 0.250 0.250 0.250